Material: YPNO2
Method: DFT, PBE
State: relaxed

a = 3.7445 Å, b = 3.7445 Å, c = 3.7451 Å
α = 90.00°, β = 90.00°, γ = 90.00°
With the nearest neighbours (Å) after each atom.
Atoms (fractional coordinates):
O 0.5000 0.0000 0.0000  2 P 1.87
O 0.0000 0.5000 0.0000  2 P 1.87
P 0.0000 0.0000 0.0000  4 O 1.87, 2 N 1.87
N 0.0000 0.0000 0.5000  2 P 1.87
Y 0.5000 0.5000 0.5000  4 N 2.65, 8 O 2.65

Summary:
The uncorrected formation energy comes out at -1438 meV/atom. The total DFT energy (no corrections) comes out at -37.3 eV/cell. The calculation puts the spin magnetization at 0.000 μB/atom.



Material: MgCo2HPt
Method: DFT, PBE
State: relaxed

a = 3.6622 Å, b = 3.6622 Å, c = 4.1223 Å
α = 90.00°, β = 90.00°, γ = 90.00°
With the nearest neighbours (Å) after each atom.
Atoms (fractional coordinates):
Co 0.5000 0.0000 0.0000  2 H 1.83
Co 0.0000 0.5000 0.0000  2 H 1.83
H 0.0000 0.0000 0.0000  4 Co 1.83
Mg 0.0000 0.0000 0.5000  2 H 2.06
Pt 0.5000 0.5000 0.5000  4 Mg 2.59, 8 Co 2.76

Summary:
The total DFT energy (no corrections) comes out at -25.9 eV/cell. The calculation puts the spin magnetization at 0.556 μB/atom. For the energy above the most stable polymorph in this dataset, the calculation gives 0.000 eV/atom.



Material: LiReSb2
Method: DFT, PBE
State: relaxed

a = 4.6998 Å, b = 4.6998 Å, c = 4.6998 Å
α = 60.00°, β = 60.00°, γ = 60.00°
With the nearest neighbours (Å) after each atom.
Atoms (fractional coordinates):
Re 0.5000 0.5000 0.5000  8 Sb 2.88
Sb 0.7500 0.7500 0.7500  4 Re 2.88, 4 Li 2.88
Sb 0.2500 0.2500 0.2500  4 Re 2.88, 4 Li 2.88
Li 0.0000 0.0000 0.0000  8 Sb 2.88

Summary:
The uncorrected formation energy comes out at 140 meV/atom. The total DFT energy (no corrections) comes out at -22.0 eV/cell. The calculation puts the spin magnetization at 0.000 μB/atom. For the energy above the most stable polymorph in this dataset, the calculation gives 0.103 eV/atom.



Material: Tb2Sm6In
Method: DFT, PBE
State: relaxed

a = 8.6876 Å, b = 8.6876 Å, c = 9.1901 Å
α = 81.56°, β = 81.56°, γ = 60.02°
With the nearest neighbours (Å) after each atom.
Atoms (fractional coordinates):
Sm 0.3292 0.4415 0.3332  5 Sm 3.31-3.71, 1 In 3.31, 3 Tb 3.47-3.51
Sm 0.5585 0.6708 0.1668  5 Sm 3.31-3.71, 1 In 3.31, 3 Tb 3.47-3.51
Sm 0.6708 0.5585 0.6668  5 Sm 3.31-3.71, 1 In 3.31, 3 Tb 3.47-3.51
Sm 0.3734 0.9069 0.4730  5 Sm 3.31-3.68, 1 In 3.33, 2 Tb 3.33-3.46
Sm 0.6266 0.0931 0.5270  5 Sm 3.31-3.68, 1 In 3.33, 2 Tb 3.33-3.46
Sm 0.4415 0.3292 0.8332  5 Sm 3.31-3.71, 1 In 3.31, 3 Tb 3.47-3.51
Sm 0.2754 0.8940 0.8772  2 In 3.29-3.50, 3 Sm 3.45-3.68, 3 Tb 3.54-3.58
Sm 0.7246 0.1060 0.1228  2 In 3.29-3.50, 3 Sm 3.45-3.68, 3 Tb 3.54-3.58
Sm 0.0931 0.6266 0.0270  5 Sm 3.31-3.68, 1 In 3.33, 2 Tb 3.33-3.46
Sm 0.9069 0.3734 0.9730  5 Sm 3.31-3.68, 1 In 3.33, 2 Tb 3.33-3.46
Sm 0.8940 0.2754 0.3772  2 In 3.29-3.50, 3 Sm 3.45-3.68, 3 Tb 3.54-3.58
Sm 0.1060 0.7246 0.6228  2 In 3.29-3.50, 3 Sm 3.45-3.68, 3 Tb 3.54-3.58
Tb 0.3004 0.1367 0.1428  1 In 3.29, 8 Sm 3.33-3.58
Tb 0.6996 0.8633 0.8572  1 In 3.29, 8 Sm 3.33-3.58
Tb 0.1367 0.3004 0.6428  1 In 3.29, 8 Sm 3.33-3.58
Tb 0.8633 0.6996 0.3572  1 In 3.29, 8 Sm 3.33-3.58
In 0.8787 0.1213 0.7500  2 Tb 3.29, 8 Sm 3.29-3.50
In 0.1213 0.8787 0.2500  2 Tb 3.29, 8 Sm 3.29-3.50

Summary:
The total DFT energy (no corrections) comes out at -80.0 eV/cell. The value obtained for the formation energy from the elements is 30 kJ/mol of formula units. The calculation puts the spin magnetization at 0.000 μB/atom. For the energy above the most stable polymorph in this dataset, the calculation gives 0.104 eV/atom.



Material: ZnAg4P
Method: DFT, PBE
State: relaxed

a = 5.4428 Å, b = 5.4428 Å, c = 5.4428 Å
α = 60.00°, β = 60.00°, γ = 60.00°
With the nearest neighbours (Å) after each atom.
Atoms (fractional coordinates):
Ag 0.8757 0.3748 0.3748  6 Ag 2.72-2.73
Ag 0.3748 0.8757 0.3748  6 Ag 2.72-2.73
Ag 0.3748 0.3748 0.8757  6 Ag 2.72-2.73
Ag 0.3748 0.3748 0.3748  6 Ag 2.72-2.73
P 0.7500 0.7500 0.7500  12 Ag 3.19, 4 Zn 3.33
Zn 0.0000 0.0000 0.0000  12 Ag 3.19, 4 P 3.33

Summary:
The total DFT energy (no corrections) comes out at -15.6 eV/cell. The value obtained for the formation energy from the elements is 239 kJ/mol of formula units. The calculation puts the spin magnetization at 0.000 μB/atom.



Material: Hf2ZrBi2
Method: DFT, PBE
State: relaxed

a = 4.2536 Å, b = 4.2536 Å, c = 8.1987 Å
α = 74.97°, β = 74.97°, γ = 90.00°
With the nearest neighbours (Å) after each atom.
Atoms (fractional coordinates):
Bi 0.2500 0.7500 0.5000  4 Bi 3.01, 4 Hf 3.20
Bi 0.7500 0.2500 0.5000  4 Bi 3.01, 4 Hf 3.20
Zr 0.0000 0.0000 0.0000  8 Hf 3.33
Hf 0.4070 0.4070 0.1860  1 Hf 2.84
Hf 0.5930 0.5930 0.8140  1 Hf 2.84

Summary:
The total DFT energy (no corrections) comes out at -33.9 eV/cell. The value obtained for the formation energy from the elements is 225 kJ/mol of formula units. The calculation puts the spin magnetization at 0.000 μB/atom. For the energy above the most stable polymorph in this dataset, the calculation gives 0.555 eV/atom.



Material: LiGdZrAl
Method: DFT, PBE
State: relaxed

a = 4.9688 Å, b = 4.9688 Å, c = 4.9688 Å
α = 60.00°, β = 60.00°, γ = 60.00°
With the nearest neighbours (Å) after each atom.
Atoms (fractional coordinates):
Al 0.5000 0.5000 0.5000  4 Zr 3.04, 4 Gd 3.04
Zr 0.7500 0.7500 0.7500  4 Li 3.04, 4 Al 3.04
Li 0.0000 0.0000 0.0000  4 Gd 3.04, 4 Zr 3.04
Gd 0.2500 0.2500 0.2500  4 Al 3.04, 4 Li 3.04

Summary:
The total DFT energy (no corrections) comes out at -28.8 eV/cell. The value obtained for the formation energy from the elements is -46 kJ/mol of formula units. The calculation puts the spin magnetization at 1.878 μB/atom.



Material: Au2BrF8
Method: DFT, PBE
State: relaxed

a = 5.4358 Å, b = 6.2220 Å, c = 7.9341 Å
α = 107.97°, β = 96.87°, γ = 119.72°
With the nearest neighbours (Å) after each atom.
Atoms (fractional coordinates):
F 0.5626 0.9980 0.6575  2 Au 2.08-2.10
F 0.0376 0.3608 0.1215  1 Br 2.04, 1 Au 2.08
F 0.8207 0.6430 0.5267  1 Au 1.99
F 0.4374 0.0020 0.3425  2 Au 2.08-2.10
F 0.6219 0.8047 0.0228  1 Br 1.87
F 0.1793 0.3570 0.4733  1 Au 1.99
F 0.3781 0.1953 0.9772  1 Br 1.87
F 0.9624 0.6392 0.8785  1 Br 2.04, 1 Au 2.08
Au 0.2994 0.6594 0.3952  4 F 1.99-2.10
Au 0.7006 0.3406 0.6048  4 F 1.99-2.10
Br 0.0000 0.0000 0.0000  4 F 1.87-2.04

Summary:
The uncorrected formation energy comes out at -866 meV/atom. The total DFT energy (no corrections) comes out at -32.7 eV/cell. The calculation puts the spin magnetization at 0.094 μB/atom.